# 1
# SrAlIr3 GGA-PBE relaxed
# **Crystal system**: cubic
# **Excess energy over the best structure of this formula in the dataset**: 0.00 eV per formula unit
# **Formation energy from the elements**: 344 meV/atom
# **Calculated volume**: 19.77 Å³ per atom
data_SrAlIr3
_space_group_name_H-M_alt 'P 1'
_space_group_IT_number 1
_space_group_name_Hall 'P 1'
_cell_length_a 4.624
_cell_length_b 4.624
_cell_length_c 4.624
_cell_angle_alpha 90.00
_cell_angle_beta 90.00
_cell_angle_gamma 90.00
loop_
_atom_site_label
_atom_site_fract_x
_atom_site_fract_y
_atom_site_fract_z
Sr1 0.000 0.000 0.000
Al1 0.500 0.500 0.500
Ir1 0.000 0.500 0.500
Ir2 0.500 0.000 0.500
Ir3 0.500 0.500 0.000


# 2
# Sr2AlIr GGA-PBE relaxed
# **Crystal system**: trigonal
# **Formation energy from the elements**: 301 meV/atom
# **Calculated volume**: 31.41 Å³ per atom
data_Sr2AlIr
_space_group_name_H-M_alt 'P 1'
_space_group_IT_number 1
_space_group_name_Hall 'P 1'
_cell_length_a 9.377
_cell_length_b 9.377
_cell_length_c 9.377
_cell_angle_alpha 24.60
_cell_angle_beta 24.60
_cell_angle_gamma 24.60
loop_
_atom_site_label
_atom_site_fract_x
_atom_site_fract_y
_atom_site_fract_z
Sr1 0.235 0.235 0.235
Sr2 0.765 0.765 0.765
Al1 0.000 0.000 0.000
Ir1 0.500 0.500 0.500


# 3
# SrAl6Ir3 GGA-PBE relaxed
# **Crystal system**: monoclinic
# **Formation energy from the elements**: -577 meV/atom
# **Calculated volume**: 17.37 Å³ per atom
data_SrAl6Ir3
_space_group_name_H-M_alt 'P 1'
_space_group_IT_number 1
_space_group_name_Hall 'P 1'
_cell_length_a 6.985
_cell_length_b 6.719
_cell_length_c 8.427
_cell_angle_alpha 90.00
_cell_angle_beta 118.56
_cell_angle_gamma 90.00
loop_
_atom_site_label
_atom_site_fract_x
_atom_site_fract_y
_atom_site_fract_z
Sr1 0.000 0.000 0.000
Sr2 0.000 0.500 0.500
Al1 0.135 0.033 0.684
Al2 0.135 0.467 0.184
Al3 0.300 0.683 0.888
Al4 0.300 0.817 0.388
Al5 0.449 0.189 0.256
Al6 0.449 0.311 0.756
Al7 0.551 0.689 0.244
Al8 0.551 0.811 0.744
Al9 0.700 0.183 0.612
Al10 0.700 0.317 0.112
Al11 0.865 0.533 0.816
Al12 0.865 0.967 0.316
Ir1 0.231 0.155 0.432
Ir2 0.231 0.345 0.932
Ir3 0.500 0.000 0.000
Ir4 0.500 0.500 0.500
Ir5 0.769 0.655 0.068
Ir6 0.769 0.845 0.568


# 4
# SrAl2Ir GGA-PBE relaxed
# **Crystal system**: monoclinic
# **Formation energy from the elements**: -291 meV/atom
# **Calculated volume**: 21.26 Å³ per atom
data_SrAl2Ir
_space_group_name_H-M_alt 'P 1'
_space_group_IT_number 1
_space_group_name_Hall 'P 1'
_cell_length_a 3.037
_cell_length_b 4.004
_cell_length_c 7.154
_cell_angle_alpha 90.00
_cell_angle_beta 102.12
_cell_angle_gamma 90.00
loop_
_atom_site_label
_atom_site_fract_x
_atom_site_fract_y
_atom_site_fract_z
Sr1 0.000 0.000 0.000
Al1 0.655 0.500 0.315
Al2 0.777 0.000 0.557
Ir1 0.311 0.500 0.627


# 5
# SrAl6Ir2 GGA-PBE relaxed
# **Crystal system**: monoclinic
# **Formation energy from the elements**: -449 meV/atom
# **Calculated volume**: 20.11 Å³ per atom
data_SrAl6Ir2
_space_group_name_H-M_alt 'P 1'
_space_group_IT_number 1
_space_group_name_Hall 'P 1'
_cell_length_a 6.929
_cell_length_b 6.929
_cell_length_c 4.372
_cell_angle_alpha 108.32
_cell_angle_beta 108.32
_cell_angle_gamma 68.87
loop_
_atom_site_label
_atom_site_fract_x
_atom_site_fract_y
_atom_site_fract_z
Sr1 0.000 0.000 0.000
Al1 0.067 0.395 0.731
Al2 0.335 0.665 0.500
Al3 0.395 0.067 0.731
Al4 0.605 0.933 0.269
Al5 0.665 0.335 0.500
Al6 0.933 0.605 0.269
Ir1 0.295 0.295 0.295
Ir2 0.705 0.705 0.705


# 6
# Sr2Al5Ir GGA-PBE relaxed
# **Crystal system**: tetragonal
# **Formation energy from the elements**: -298 meV/atom
# **Calculated volume**: 24.55 Å³ per atom
data_Sr2Al5Ir
_space_group_name_H-M_alt 'P 1'
_space_group_IT_number 1
_space_group_name_Hall 'P 1'
_cell_length_a 6.944
_cell_length_b 6.944
_cell_length_c 6.944
_cell_angle_alpha 129.11
_cell_angle_beta 129.11
_cell_angle_gamma 74.84
loop_
_atom_site_label
_atom_site_fract_x
_atom_site_fract_y
_atom_site_fract_z
Sr1 0.000 0.500 0.500
Sr2 0.500 0.000 0.500
Al1 0.021 0.021 0.525
Al2 0.021 0.497 0.000
Al3 0.091 0.091 0.000
Al4 0.497 0.021 0.000
Al5 0.497 0.497 0.475
Ir1 0.861 0.861 0.000


# 7
# SrAl2Ir GGA-PBE relaxed
# **Crystal system**: orthorhombic
# **Formation energy from the elements**: -164 meV/atom
# **Calculated volume**: 21.28 Å³ per atom
data_SrAl2Ir
_space_group_name_H-M_alt 'P 1'
_space_group_IT_number 1
_space_group_name_Hall 'P 1'
_cell_length_a 5.103
_cell_length_b 5.103
_cell_length_c 5.103
_cell_angle_alpha 132.02
_cell_angle_beta 116.16
_cell_angle_gamma 83.67
loop_
_atom_site_label
_atom_site_fract_x
_atom_site_fract_y
_atom_site_fract_z
Sr1 0.000 0.000 0.000
Al1 0.309 0.809 0.500
Al2 0.691 0.191 0.500
Ir1 0.500 0.500 0.000


# 8
# SrAl3Ir3 GGA-PBE relaxed
# **Crystal system**: cubic
# **Formation energy from the elements**: -236 meV/atom
# **Calculated volume**: 22.26 Å³ per atom
data_SrAl3Ir3
_space_group_name_H-M_alt 'P 1'
_space_group_IT_number 1
_space_group_name_Hall 'P 1'
_cell_length_a 6.780
_cell_length_b 6.780
_cell_length_c 6.780
_cell_angle_alpha 90.00
_cell_angle_beta 90.00
_cell_angle_gamma 90.00
loop_
_atom_site_label
_atom_site_fract_x
_atom_site_fract_y
_atom_site_fract_z
Sr1 0.000 0.000 0.000
Sr2 0.500 0.500 0.500
Al1 0.000 0.250 0.500
Al2 0.000 0.750 0.500
Al3 0.250 0.500 0.000
Al4 0.500 0.000 0.250
Al5 0.500 0.000 0.750
Al6 0.750 0.500 0.000
Ir1 0.000 0.500 0.250
Ir2 0.000 0.500 0.750
Ir3 0.250 0.000 0.500
Ir4 0.500 0.250 0.000
Ir5 0.500 0.750 0.000
Ir6 0.750 0.000 0.500


# 9
# SrAlIr2 GGA-PBE relaxed
# **Crystal system**: tetragonal
# **Formation energy from the elements**: 25 meV/atom
# **Calculated volume**: 18.58 Å³ per atom
data_SrAlIr2
_space_group_name_H-M_alt 'P 1'
_space_group_IT_number 1
_space_group_name_Hall 'P 1'
_cell_length_a 2.961
_cell_length_b 2.961
_cell_length_c 8.476
_cell_angle_alpha 90.00
_cell_angle_beta 90.00
_cell_angle_gamma 90.00
loop_
_atom_site_label
_atom_site_fract_x
_atom_site_fract_y
_atom_site_fract_z
Sr1 0.000 0.000 0.000
Al1 0.500 0.500 0.318
Ir1 0.000 0.000 0.510
Ir2 0.500 0.500 0.715


# 10
# SrAl9Ir2 GGA-PBE relaxed
# **Crystal system**: tetragonal
# **Formation energy from the elements**: -510 meV/atom
# **Calculated volume**: 17.14 Å³ per atom
data_SrAl9Ir2
_space_group_name_H-M_alt 'P 1'
_space_group_IT_number 1
_space_group_name_Hall 'P 1'
_cell_length_a 8.425
_cell_length_b 8.425
_cell_length_c 8.425
_cell_angle_alpha 99.95
_cell_angle_beta 99.95
_cell_angle_gamma 130.88
loop_
_atom_site_label
_atom_site_fract_x
_atom_site_fract_y
_atom_site_fract_z
Sr1 0.375 0.625 0.750
Sr2 0.625 0.375 0.250
Al1 0.125 0.875 0.250
Al2 0.137 0.564 0.329
Al3 0.137 0.809 0.573
Al4 0.191 0.265 0.329
Al5 0.191 0.863 0.927
Al6 0.265 0.191 0.829
Al7 0.265 0.436 0.073
Al8 0.436 0.265 0.573
Al9 0.436 0.863 0.171
Al10 0.564 0.137 0.829
Al11 0.564 0.735 0.427
Al12 0.735 0.564 0.927
Al13 0.735 0.809 0.171
Al14 0.809 0.137 0.073
Al15 0.809 0.735 0.671
Al16 0.863 0.191 0.427
Al17 0.863 0.436 0.671
Al18 0.875 0.125 0.750
Ir1 0.000 0.000 0.000
Ir2 0.000 0.000 0.500
Ir3 0.000 0.500 0.000
Ir4 0.500 0.000 0.500


# 11
# SrTaAlIr2 GGA-PBE relaxed
# **Crystal system**: tetragonal
# **Formation energy from the elements**: -596 meV/atom
# **Calculated volume**: 20.41 Å³ per atom
data_SrTaAlIr2
_space_group_name_H-M_alt 'P 1'
_space_group_IT_number 1
_space_group_name_Hall 'P 1'
_cell_length_a 6.396
_cell_length_b 6.396
_cell_length_c 6.396
_cell_angle_alpha 141.18
_cell_angle_beta 141.18
_cell_angle_gamma 56.07
loop_
_atom_site_label
_atom_site_fract_x
_atom_site_fract_y
_atom_site_fract_z
Sr1 0.000 0.000 0.000
Ta1 0.250 0.750 0.500
Al1 0.750 0.250 0.500
Ir1 0.380 0.380 0.000
Ir2 0.620 0.620 0.000


# 12
# SrTiAlIr2 GGA-PBE relaxed
# **Crystal system**: tetragonal
# **Formation energy from the elements**: -702 meV/atom
# **Calculated volume**: 19.77 Å³ per atom
data_SrTiAlIr2
_space_group_name_H-M_alt 'P 1'
_space_group_IT_number 1
_space_group_name_Hall 'P 1'
_cell_length_a 6.324
_cell_length_b 6.324
_cell_length_c 6.324
_cell_angle_alpha 141.13
_cell_angle_beta 141.13
_cell_angle_gamma 56.14
loop_
_atom_site_label
_atom_site_fract_x
_atom_site_fract_y
_atom_site_fract_z
Sr1 0.000 0.000 0.000
Ti1 0.250 0.750 0.500
Al1 0.750 0.250 0.500
Ir1 0.381 0.381 0.000
Ir2 0.619 0.619 0.000


# 13
# SrAl2TlIr GGA-PBE relaxed
# **Crystal system**: tetragonal
# **Formation energy from the elements**: 2051 meV/atom
# **Calculated volume**: 37.27 Å³ per atom
data_SrAl2TlIr
_space_group_name_H-M_alt 'P 1'
_space_group_IT_number 1
_space_group_name_Hall 'P 1'
_cell_length_a 5.635
_cell_length_b 5.635
_cell_length_c 5.869
_cell_angle_alpha 90.00
_cell_angle_beta 90.00
_cell_angle_gamma 90.00
loop_
_atom_site_label
_atom_site_fract_x
_atom_site_fract_y
_atom_site_fract_z
Sr1 0.000 0.000 0.000
Al1 0.000 0.500 0.000
Al2 0.500 0.000 0.000
Tl1 0.000 0.000 0.500
Ir1 0.500 0.500 0.500